# 1
{
  "formula": "LaPm2Cu6",
  "functional": "GGA-PBE",
  "state": "optimized geometry",
  "formation_enthalpy_0k_ev_per_atom": -0.225,
  "total_energy_ev_per_atom": -4.5588,
  "cell": [[7.434, 0.000, 0.000], [-3.717, 6.438, 0.000], [0.000, 0.000, 3.770]],
  "species": ["La", "Pm", "Pm", "Cu", "Cu", "Cu", "Cu", "Cu", "Cu"],
  "frac_coords": [[0.000, 0.000, 0.000], [0.333, 0.667, 0.000], [0.667, 0.333, 0.000], [0.000, 0.335, 0.500], [0.000, 0.665, 0.500], [0.335, 0.000, 0.500], [0.335, 0.335, 0.500], [0.665, 0.000, 0.500], [0.665, 0.665, 0.500]]
}

=====

# 2
{
  "formula": "La2PmCu3",
  "functional": "GGA-PBE",
  "state": "optimized geometry",
  "formation_enthalpy_0k_ev_per_atom": -0.137,
  "total_energy_ev_per_atom": -4.6197,
  "cell": [[2.554, -7.668, 0.000], [2.554, 7.668, 0.000], [0.000, 0.000, 7.342]],
  "species": ["La", "La", "La", "La", "Pm", "Pm", "Cu", "Cu", "Cu", "Cu", "Cu", "Cu"],
  "frac_coords": [[0.000, 0.000, 0.000], [0.000, 0.000, 0.500], [0.334, 0.666, 0.000], [0.666, 0.334, 0.000], [0.333, 0.667, 0.500], [0.667, 0.333, 0.500], [0.171, 0.829, 0.263], [0.171, 0.829, 0.737], [0.500, 0.500, 0.256], [0.500, 0.500, 0.744], [0.829, 0.171, 0.263], [0.829, 0.171, 0.737]]
}

=====

# 3
{
  "formula": "La3Pm2Cu2",
  "functional": "GGA-PBE",
  "state": "optimized geometry",
  "formation_enthalpy_0k_ev_per_atom": -0.082,
  "total_energy_ev_per_atom": -4.7213,
  "cell": [[6.272, -1.928, 0.000], [6.272, 1.928, 0.000], [-3.913, 0.000, 8.503]],
  "species": ["La", "La", "La", "Pm", "Pm", "Cu", "Cu"],
  "frac_coords": [[0.000, 0.000, 0.000], [0.112, 0.112, 0.439], [0.888, 0.888, 0.561], [0.338, 0.338, 0.185], [0.662, 0.662, 0.815], [0.334, 0.334, 0.776], [0.666, 0.666, 0.224]]
}

=====

# 4
{
  "formula": "La4PmCu5",
  "functional": "GGA-PBE",
  "state": "optimized geometry",
  "formation_enthalpy_0k_ev_per_atom": -0.140,
  "total_energy_ev_per_atom": -4.6341,
  "cell": [[3.618, 0.000, 0.000], [0.000, 3.618, 0.000], [0.000, 0.000, 18.386]],
  "species": ["La", "La", "La", "La", "Pm", "Cu", "Cu", "Cu", "Cu", "Cu"],
  "frac_coords": [[0.000, 0.000, 0.101], [0.000, 0.000, 0.303], [0.000, 0.000, 0.697], [0.000, 0.000, 0.899], [0.000, 0.000, 0.500], [0.500, 0.500, 0.000], [0.500, 0.500, 0.201], [0.500, 0.500, 0.407], [0.500, 0.500, 0.593], [0.500, 0.500, 0.799]]
}

=====

# 5
{
  "formula": "La2PmCu",
  "functional": "GGA-PBE",
  "state": "optimized geometry",
  "formation_enthalpy_0k_ev_per_atom": -0.048,
  "total_energy_ev_per_atom": -4.7239,
  "cell": [[3.706, 0.000, 0.000], [0.000, 3.706, 0.000], [0.000, 0.000, 8.803]],
  "species": ["La", "La", "Pm", "Cu"],
  "frac_coords": [[0.000, 0.000, 0.200], [0.000, 0.000, 0.800], [0.500, 0.500, 0.500], [0.500, 0.500, 0.000]]
}

=====

# 6
{
  "formula": "La4PmCu",
  "functional": "GGA-PBE",
  "state": "optimized geometry",
  "formation_enthalpy_0k_ev_per_atom": -0.034,
  "total_energy_ev_per_atom": -4.7935,
  "cell": [[3.704, 0.000, 0.000], [0.000, 3.704, 0.000], [0.000, 0.000, 14.099]],
  "species": ["La", "La", "La", "La", "Pm", "Cu"],
  "frac_coords": [[0.000, 0.000, 0.124], [0.000, 0.000, 0.876], [0.500, 0.500, 0.317], [0.500, 0.500, 0.683], [0.000, 0.000, 0.500], [0.500, 0.500, 0.000]]
}

=====

# 7
{
  "formula": "LaPm2Cu9",
  "functional": "GGA-PBE",
  "state": "optimized geometry",
  "formation_enthalpy_0k_ev_per_atom": -0.141,
  "total_energy_ev_per_atom": -4.4151,
  "cell": [[5.317, 0.000, 0.000], [-2.658, 4.604, 0.000], [0.000, 0.000, 16.607]],
  "species": ["La", "La", "Pm", "Pm", "Pm", "Pm", "Cu", "Cu", "Cu", "Cu", "Cu", "Cu", "Cu", "Cu", "Cu", "Cu", "Cu", "Cu", "Cu", "Cu", "Cu", "Cu", "Cu", "Cu"],
  "frac_coords": [[0.333, 0.667, 0.250], [0.667, 0.333, 0.750], [0.333, 0.667, 0.032], [0.333, 0.667, 0.468], [0.667, 0.333, 0.532], [0.667, 0.333, 0.968], [0.000, 0.000, 0.000], [0.000, 0.000, 0.250], [0.000, 0.000, 0.500], [0.000, 0.000, 0.750], [0.166, 0.331, 0.628], [0.166, 0.331, 0.872], [0.166, 0.834, 0.628], [0.166, 0.834, 0.872], [0.331, 0.166, 0.128], [0.331, 0.166, 0.372], [0.333, 0.667, 0.750], [0.667, 0.333, 0.250], [0.669, 0.834, 0.628], [0.669, 0.834, 0.872], [0.834, 0.166, 0.128], [0.834, 0.166, 0.372], [0.834, 0.669, 0.128], [0.834, 0.669, 0.372]]
}

=====

# 8
{
  "formula": "LaPm2Cu3",
  "functional": "GGA-PBE",
  "state": "optimized geometry",
  "formation_enthalpy_0k_ev_per_atom": -0.155,
  "total_energy_ev_per_atom": -4.6078,
  "cell": [[3.583, 0.000, 0.000], [0.000, 3.583, 0.000], [0.000, 0.000, 10.868]],
  "species": ["La", "Pm", "Pm", "Cu", "Cu", "Cu"],
  "frac_coords": [[0.000, 0.000, 0.000], [0.000, 0.000, 0.336], [0.000, 0.000, 0.664], [0.500, 0.500, 0.178], [0.500, 0.500, 0.500], [0.500, 0.500, 0.822]]
}

=====

# 9
{
  "formula": "La2PmCu3",
  "functional": "GGA-PBE",
  "state": "optimized geometry",
  "formation_enthalpy_0k_ev_per_atom": -0.145,
  "total_energy_ev_per_atom": -4.6274,
  "cell": [[3.608, 0.000, 0.000], [0.000, 3.608, 0.000], [0.000, 0.000, 10.972]],
  "species": ["La", "La", "Pm", "Cu", "Cu", "Cu"],
  "frac_coords": [[0.000, 0.000, 0.169], [0.000, 0.000, 0.831], [0.000, 0.000, 0.500], [0.500, 0.500, 0.000], [0.500, 0.500, 0.344], [0.500, 0.500, 0.656]]
}

=====

# 10
{
  "formula": "La2Pm3Cu2",
  "functional": "GGA-PBE",
  "state": "optimized geometry",
  "formation_enthalpy_0k_ev_per_atom": -0.080,
  "total_energy_ev_per_atom": -4.6945,
  "cell": [[6.354, -1.892, 0.000], [6.354, 1.892, 0.000], [-4.144, 0.000, 8.419]],
  "species": ["La", "La", "Pm", "Pm", "Pm", "Cu", "Cu"],
  "frac_coords": [[0.158, 0.158, 0.314], [0.842, 0.842, 0.686], [0.384, 0.384, 0.057], [0.500, 0.500, 0.500], [0.616, 0.616, 0.943], [0.164, 0.164, 0.731], [0.836, 0.836, 0.269]]
}

=====

# 11
{
  "formula": "LaPm4Cu2",
  "functional": "GGA-PBE",
  "state": "optimized geometry",
  "formation_enthalpy_0k_ev_per_atom": -0.012,
  "total_energy_ev_per_atom": -4.6013,
  "cell": [[7.363, 0.000, 0.000], [0.000, 6.769, 0.000], [-2.929, 0.000, 8.000]],
  "species": ["La", "La", "Pm", "Pm", "Pm", "Pm", "Pm", "Pm", "Pm", "Pm", "Cu", "Cu", "Cu", "Cu"],
  "frac_coords": [[0.131, 0.250, 0.027], [0.869, 0.750, 0.973], [0.035, 0.250, 0.394], [0.219, 0.750, 0.341], [0.398, 0.009, 0.764], [0.398, 0.491, 0.764], [0.602, 0.509, 0.236], [0.602, 0.991, 0.236], [0.781, 0.250, 0.659], [0.965, 0.750, 0.606], [0.276, 0.750, 0.996], [0.407, 0.250, 0.411], [0.593, 0.750, 0.589], [0.724, 0.250, 0.004]]
}

=====

# 12
{
  "formula": "LaPm3Cu2",
  "functional": "GGA-PBE",
  "state": "optimized geometry",
  "formation_enthalpy_0k_ev_per_atom": -0.102,
  "total_energy_ev_per_atom": -4.6639,
  "cell": [[5.038, 0.000, 0.000], [0.000, 9.012, 0.000], [0.000, 0.000, 7.139]],
  "species": ["La", "La", "Pm", "Pm", "Pm", "Pm", "Pm", "Pm", "Cu", "Cu", "Cu", "Cu"],
  "frac_coords": [[0.000, 0.079, 0.000], [0.000, 0.921, 0.500], [0.000, 0.341, 0.634], [0.000, 0.659, 0.134], [0.500, 0.162, 0.352], [0.500, 0.426, 0.982], [0.500, 0.574, 0.482], [0.500, 0.838, 0.852], [0.000, 0.349, 0.235], [0.000, 0.651, 0.735], [0.500, 0.157, 0.750], [0.500, 0.843, 0.250]]
}

=====

# 13
{
  "formula": "La3PmCu7",
  "functional": "GGA-PBE",
  "state": "optimized geometry",
  "formation_enthalpy_0k_ev_per_atom": -0.144,
  "total_energy_ev_per_atom": -4.5265,
  "cell": [[1.987, -9.674, 0.000], [1.987, 9.674, 0.000], [0.000, 0.000, 12.673]],
  "species": ["La", "La", "La", "La", "La", "La", "Pm", "Pm", "Cu", "Cu", "Cu", "Cu", "Cu", "Cu", "Cu", "Cu", "Cu", "Cu", "Cu", "Cu", "Cu", "Cu"],
  "frac_coords": [[0.116, 0.884, 0.538], [0.116, 0.884, 0.962], [0.238, 0.762, 0.250], [0.762, 0.238, 0.750], [0.884, 0.116, 0.038], [0.884, 0.116, 0.462], [0.026, 0.974, 0.250], [0.974, 0.026, 0.750], [0.272, 0.728, 0.544], [0.272, 0.728, 0.956], [0.374, 0.626, 0.653], [0.374, 0.626, 0.847], [0.412, 0.588, 0.250], [0.498, 0.502, 0.593], [0.498, 0.502, 0.907], [0.502, 0.498, 0.093], [0.502, 0.498, 0.407], [0.588, 0.412, 0.750], [0.626, 0.374, 0.153], [0.626, 0.374, 0.347], [0.728, 0.272, 0.044], [0.728, 0.272, 0.456]]
}

=====

# 14
{
  "formula": "La5PmCu6",
  "functional": "GGA-PBE",
  "state": "optimized geometry",
  "formation_enthalpy_0k_ev_per_atom": -0.138,
  "total_energy_ev_per_atom": -4.6351,
  "cell": [[-2.586, 3.619, 7.740], [2.586, -3.619, 7.740], [2.586, 3.619, -7.740]],
  "species": ["La", "La", "La", "La", "La", "Pm", "Cu", "Cu", "Cu", "Cu", "Cu", "Cu"],
  "frac_coords": [[0.000, 0.000, 0.000], [0.165, 0.665, 0.500], [0.331, 0.331, 0.000], [0.669, 0.669, 0.000], [0.835, 0.335, 0.500], [0.500, 0.000, 0.500], [0.095, 0.837, 0.258], [0.266, 0.500, 0.766], [0.421, 0.163, 0.258], [0.579, 0.837, 0.742], [0.734, 0.500, 0.234], [0.905, 0.163, 0.742]]
}

=====

# 15
{
  "formula": "LaPm2Cu2",
  "functional": "GGA-PBE",
  "state": "optimized geometry",
  "formation_enthalpy_0k_ev_per_atom": -0.093,
  "total_energy_ev_per_atom": -4.6167,
  "cell": [[1.817, -13.446, 0.000], [1.817, 13.446, 0.000], [0.000, 0.000, 5.253]],
  "species": ["La", "La", "Pm", "Pm", "Pm", "Pm", "Cu", "Cu", "Cu", "Cu"],
  "frac_coords": [[0.140, 0.860, 0.750], [0.860, 0.140, 0.250], [0.047, 0.953, 0.250], [0.229, 0.771, 0.250], [0.771, 0.229, 0.750], [0.953, 0.047, 0.750], [0.361, 0.639, 0.750], [0.457, 0.543, 0.250], [0.543, 0.457, 0.750], [0.639, 0.361, 0.250]]
}

=====

# 16
{
  "formula": "La2Pm3Cu4",
  "functional": "GGA-PBE",
  "state": "optimized geometry",
  "formation_enthalpy_0k_ev_per_atom": -0.119,
  "total_energy_ev_per_atom": -4.6178,
  "cell": [[8.501, 0.000, 0.000], [0.000, 7.203, 0.000], [-2.160, 0.000, 7.462]],
  "species": ["La", "La", "La", "La", "Pm", "Pm", "Pm", "Pm", "Pm", "Pm", "Cu", "Cu", "Cu", "Cu", "Cu", "Cu", "Cu", "Cu"],
  "frac_coords": [[0.188, 0.169, 0.088], [0.188, 0.331, 0.588], [0.812, 0.669, 0.412], [0.812, 0.831, 0.912], [0.233, 0.665, 0.247], [0.233, 0.835, 0.747], [0.500, 0.000, 0.500], [0.500, 0.500, 0.000], [0.767, 0.165, 0.253], [0.767, 0.335, 0.753], [0.076, 0.535, 0.880], [0.076, 0.965, 0.380], [0.497, 0.613, 0.622], [0.497, 0.887, 0.122], [0.503, 0.113, 0.878], [0.503, 0.387, 0.378], [0.924, 0.035, 0.620], [0.924, 0.465, 0.120]]
}

=====

# 17
{
  "formula": "LaPm4Cu4",
  "functional": "GGA-PBE",
  "state": "optimized geometry",
  "formation_enthalpy_0k_ev_per_atom": -0.008,
  "total_energy_ev_per_atom": -4.4872,
  "cell": [[9.083, 0.000, 0.000], [0.000, 9.083, 0.000], [0.000, 0.000, 5.859]],
  "species": ["La", "La", "Pm", "Pm", "Pm", "Pm", "Pm", "Pm", "Pm", "Pm", "Cu", "Cu", "Cu", "Cu", "Cu", "Cu", "Cu", "Cu"],
  "frac_coords": [[0.250, 0.250, 0.250], [0.750, 0.750, 0.750], [0.072, 0.663, 0.148], [0.163, 0.928, 0.648], [0.337, 0.572, 0.648], [0.428, 0.837, 0.148], [0.572, 0.163, 0.852], [0.663, 0.428, 0.352], [0.837, 0.072, 0.352], [0.928, 0.337, 0.852], [0.023, 0.607, 0.630], [0.107, 0.977, 0.130], [0.393, 0.523, 0.130], [0.477, 0.893, 0.630], [0.523, 0.107, 0.370], [0.607, 0.477, 0.870], [0.893, 0.023, 0.870], [0.977, 0.393, 0.370]]
}

=====

# 18
{
  "formula": "La2Pm2Cu3",
  "functional": "GGA-PBE",
  "state": "optimized geometry",
  "formation_enthalpy_0k_ev_per_atom": -0.044,
  "total_energy_ev_per_atom": -4.5643,
  "cell": [[-4.487, 4.487, 4.487], [4.487, -4.487, 4.487], [4.487, 4.487, -4.487]],
  "species": ["La", "La", "La", "La", "Pm", "Pm", "Pm", "Pm", "Cu", "Cu", "Cu", "Cu", "Cu", "Cu"],
  "frac_coords": [[0.000, 0.141, 0.500], [0.141, 0.500, 0.000], [0.359, 0.359, 0.359], [0.500, 0.000, 0.141], [0.000, 0.635, 0.500], [0.500, 0.000, 0.635], [0.635, 0.500, 0.000], [0.865, 0.865, 0.865], [0.112, 0.862, 0.250], [0.250, 0.112, 0.862], [0.388, 0.638, 0.750], [0.638, 0.750, 0.388], [0.750, 0.388, 0.638], [0.862, 0.250, 0.112]]
}

=====

# 19
{
  "formula": "La2PmCu",
  "functional": "GGA-PBE",
  "state": "optimized geometry",
  "formation_enthalpy_0k_ev_per_atom": 0.053,
  "total_energy_ev_per_atom": -4.6225,
  "cell": [[1.900, 1.097, 10.095], [-1.900, 1.097, 10.095], [0.000, -2.194, 10.095]],
  "species": ["La", "La", "Pm", "Cu"],
  "frac_coords": [[0.000, 0.000, 0.000], [0.197, 0.197, 0.197], [0.431, 0.431, 0.431], [0.599, 0.599, 0.599]]
}

=====

# 20
{
  "formula": "LaPmCuPt",
  "functional": "GGA-PBE",
  "state": "optimized geometry",
  "formation_enthalpy_0k_ev_per_atom": -0.694,
  "total_energy_ev_per_atom": -5.6474,
  "cell": [[4.607, 0.000, 0.000], [0.000, 1.973, 5.416], [0.000, -1.973, 5.416]],
  "species": ["La", "Pm", "Cu", "Pt"],
  "frac_coords": [[0.000, 0.000, 0.000], [0.500, 0.725, 0.725], [0.500, 0.437, 0.437], [0.000, 0.284, 0.284]]
}